Record 1
KHg3Au2: relaxed, PBE-GGA.

Structure (CIF):
```
data_KHg3Au2
_cell_length_a 18.731
_cell_length_b 4.731
_cell_length_c 11.484
_cell_angle_alpha 90.00
_cell_angle_beta 107.23
_cell_angle_gamma 90.00
_symmetry_space_group_name_H-M 'C 1 2/m 1'
_symmetry_Int_Tables_number 12
_symmetry_space_group_name_Hall '-C 2y'
loop_
_atom_site_label
_atom_site_fract_x
_atom_site_fract_y
_atom_site_fract_z
K1 0.000 0.000 0.000
K2 0.159 0.000 0.705
Hg1 0.000 0.500 0.500
Hg2 0.043 0.000 0.343
Hg3 0.126 0.500 0.188
Hg4 0.168 0.500 0.952
Hg5 0.218 0.000 0.386
Au1 0.027 0.500 0.778
Au2 0.138 0.500 0.448
Au3 0.200 0.000 0.122
```

Summary:
DFT formation energy	-0.149	eV per atom
total moment	0.0	Bohr magnetons per cell
polymorph energy (0 for the lowest one)	0	meV/atom

Record 2
BaIn2Hg3: relaxed, PBE-GGA.

Structure (CIF):
```
data_BaIn2Hg3
_cell_length_a 18.232
_cell_length_b 5.323
_cell_length_c 7.862
_cell_angle_alpha 90.00
_cell_angle_beta 111.72
_cell_angle_gamma 90.00
_symmetry_space_group_name_H-M 'C 1 2/m 1'
_symmetry_Int_Tables_number 12
_symmetry_space_group_name_Hall '-C 2y'
loop_
_atom_site_label
_atom_site_fract_x
_atom_site_fract_y
_atom_site_fract_z
Ba1 0.138 0.000 0.186
In1 0.005 0.500 0.813
In2 0.206 0.000 0.698
Hg1 0.040 0.000 0.699
Hg2 0.152 0.500 0.500
Hg3 0.181 0.500 0.919
```

Summary:
DFT formation energy	-0.288	eV per atom
total moment	0.0	Bohr magnetons per cell
polymorph energy (0 for the lowest one)	0	meV/atom

Record 3
Li2Si: relaxed, PBE-GGA.

Structure (CIF):
```
data_Li2Si
_cell_length_a 4.578
_cell_length_b 4.578
_cell_length_c 2.619
_cell_angle_alpha 90.00
_cell_angle_beta 90.00
_cell_angle_gamma 90.00
_symmetry_space_group_name_H-M 'P 4/m m m'
_symmetry_Int_Tables_number 123
_symmetry_space_group_name_Hall '-P 4 2'
loop_
_atom_site_label
_atom_site_fract_x
_atom_site_fract_y
_atom_site_fract_z
Li1 0.000 0.500 0.000
Si1 0.000 0.000 0.500
```

Summary:
total moment	0.0	Bohr magnetons per cell
E_form (uncorrected)	-0.101	eV/atom

Record 4
Mg4Sb2Pb: relaxed, PBE-GGA.

Structure (CIF):
```
data_Mg4Sb2Pb
_cell_length_a 5.406
_cell_length_b 5.406
_cell_length_c 14.813
_cell_angle_alpha 90.00
_cell_angle_beta 90.00
_cell_angle_gamma 90.00
_symmetry_space_group_name_H-M 'I 4/m m m'
_symmetry_Int_Tables_number 139
_symmetry_space_group_name_Hall '-I 4 2'
loop_
_atom_site_label
_atom_site_fract_x
_atom_site_fract_y
_atom_site_fract_z
Mg1 0.000 0.000 0.190
Mg2 0.000 0.500 0.000
Sb1 0.000 0.000 0.376
Pb1 0.000 0.000 0.000
```

Summary:
total moment	0.0	Bohr magnetons per cell
E_form (uncorrected)	0.185	eV/atom

Record 5
Tb2FeTc3: relaxed, PBE-GGA.

Structure (CIF):
```
data_Tb2FeTc3
_cell_length_a 5.2870
_cell_length_b 5.2870
_cell_length_c 13.5486
_cell_angle_alpha 90.00
_cell_angle_beta 90.00
_cell_angle_gamma 120.00
_symmetry_space_group_name_H-M 'R -3 m'
_symmetry_Int_Tables_number 166
_symmetry_space_group_name_Hall '-R 3 2"'
loop_
_atom_site_label
_atom_site_fract_x
_atom_site_fract_y
_atom_site_fract_z
Tb1 0.0000 0.0000 0.1239
Fe1 0.0000 0.0000 0.5000
Tc1 0.0000 0.5000 0.0000
```

Summary:
DFT formation energy	-0.128	eV per atom
total moment	8.1	Bohr magnetons per cell

Record 6
HfMg2Si2: relaxed, PBE-GGA.

Structure (CIF):
```
data_HfMg2Si2
_cell_length_a 6.914
_cell_length_b 6.914
_cell_length_c 4.002
_cell_angle_alpha 90.00
_cell_angle_beta 90.00
_cell_angle_gamma 90.00
_symmetry_space_group_name_H-M 'P 4/m b m'
_symmetry_Int_Tables_number 127
_symmetry_space_group_name_Hall '-P 4 2ab'
loop_
_atom_site_label
_atom_site_fract_x
_atom_site_fract_y
_atom_site_fract_z
Hf1 0.000 0.000 0.000
Mg1 0.178 0.322 0.500
Si1 0.124 0.624 0.000
```

Summary:
total moment	0.0	Bohr magnetons per cell
E_form (uncorrected)	-0.114	eV/atom

Record 7
Tb4TlI5: relaxed, PBE-GGA.

Structure (CIF):
```
data_Tb4TlI5
_cell_length_a 19.109
_cell_length_b 4.338
_cell_length_c 8.950
_cell_angle_alpha 90.00
_cell_angle_beta 101.50
_cell_angle_gamma 90.00
_symmetry_space_group_name_H-M 'C 1 2/m 1'
_symmetry_Int_Tables_number 12
_symmetry_space_group_name_Hall '-C 2y'
loop_
_atom_site_label
_atom_site_fract_x
_atom_site_fract_y
_atom_site_fract_z
Tb1 0.001 0.000 0.227
Tb2 0.157 0.500 0.072
Tl1 0.000 0.500 0.000
I1 0.000 0.500 0.500
I2 0.168 0.000 0.329
I3 0.172 0.000 0.823
```

Summary:
total moment	0.0	Bohr magnetons per cell
E_form (uncorrected)	-0.973	eV/atom

Record 8
Tb5Pr4Mg: relaxed, PBE-GGA.

Structure (CIF):
```
data_Tb5Pr4Mg
_cell_length_a 10.805
_cell_length_b 10.805
_cell_length_c 5.846
_cell_angle_alpha 90.00
_cell_angle_beta 90.00
_cell_angle_gamma 90.00
_symmetry_space_group_name_H-M 'I 4 m m'
_symmetry_Int_Tables_number 107
_symmetry_space_group_name_Hall 'I 4 -2'
loop_
_atom_site_label
_atom_site_fract_x
_atom_site_fract_y
_atom_site_fract_z
Tb1 0.000 0.000 0.000
Tb2 0.185 0.185 0.289
Pr1 0.000 0.316 0.803
Mg1 0.000 0.000 0.519
```

Summary:
DFT formation energy	0.165	eV per atom
total moment	0.0	Bohr magnetons per cell

Record 9
RbYMn3: relaxed, PBE-GGA.

Structure (CIF):
```
data_RbYMn3
_cell_length_a 5.543
_cell_length_b 5.543
_cell_length_c 5.543
_cell_angle_alpha 90.00
_cell_angle_beta 90.00
_cell_angle_gamma 90.00
_symmetry_space_group_name_H-M 'P m -3 m'
_symmetry_Int_Tables_number 221
_symmetry_space_group_name_Hall '-P 4 2 3'
loop_
_atom_site_label
_atom_site_fract_x
_atom_site_fract_y
_atom_site_fract_z
Rb1 0.000 0.000 0.000
Y1 0.500 0.500 0.500
Mn1 0.000 0.500 0.500
```

Summary:
DFT formation energy	1.340	eV per atom
total moment	11.5	Bohr magnetons per cell
polymorph energy (0 for the lowest one)	0	meV/atom

Record 10
Sm5Y4Th3: relaxed, PBE-GGA.

Structure (CIF):
```
data_Sm5Y4Th3
_cell_length_a 15.993
_cell_length_b 6.053
_cell_length_c 9.456
_cell_angle_alpha 90.00
_cell_angle_beta 116.36
_cell_angle_gamma 90.00
_symmetry_space_group_name_H-M 'C 1 2/m 1'
_symmetry_Int_Tables_number 12
_symmetry_space_group_name_Hall '-C 2y'
loop_
_atom_site_label
_atom_site_fract_x
_atom_site_fract_y
_atom_site_fract_z
Sm1 0.000 0.000 0.000
Sm2 0.076 0.500 0.700
Sm3 0.171 0.500 0.375
Y1 0.084 0.000 0.446
Y2 0.211 0.000 0.882
Th1 0.000 0.500 0.000
Th2 0.211 0.000 0.240
```

Summary:
DFT formation energy	0.285	eV per atom
total moment	0.0	Bohr magnetons per cell

Record 11
K5SnTe5: relaxed, PBE-GGA.

Structure (CIF):
```
data_K5SnTe5
_cell_length_a 16.132
_cell_length_b 6.746
_cell_length_c 9.593
_cell_angle_alpha 90.00
_cell_angle_beta 109.19
_cell_angle_gamma 90.00
_symmetry_space_group_name_H-M 'C 1 2/m 1'
_symmetry_Int_Tables_number 12
_symmetry_space_group_name_Hall '-C 2y'
loop_
_atom_site_label
_atom_site_fract_x
_atom_site_fract_y
_atom_site_fract_z
K1 0.000 0.000 0.000
K2 0.173 0.500 0.348
K3 0.195 0.500 0.809
Sn1 0.000 0.000 0.500
Te1 0.000 0.500 0.500
Te2 0.132 0.000 0.354
Te3 0.143 0.000 0.793
```

Summary:
total moment	2.0	Bohr magnetons per cell
E_form (uncorrected)	-0.632	eV/atom

Record 12
AcErTm2: relaxed, PBE-GGA.

Structure (CIF):
```
data_AcErTm2
_cell_length_a 3.5383
_cell_length_b 3.5383
_cell_length_c 37.6193
_cell_angle_alpha 90.00
_cell_angle_beta 90.00
_cell_angle_gamma 120.00
_symmetry_space_group_name_H-M 'R -3 m'
_symmetry_Int_Tables_number 166
_symmetry_space_group_name_Hall '-R 3 2"'
loop_
_atom_site_label
_atom_site_fract_x
_atom_site_fract_y
_atom_site_fract_z
Ac1 0.0000 0.0000 0.0000
Er1 0.0000 0.0000 0.5000
Tm1 0.0000 0.0000 0.0931
```

Summary:
DFT formation energy	0.201	eV per atom
total moment	0.0	Bohr magnetons per cell
polymorph energy (0 for the lowest one)	125	meV/atom

no.,Fermi-level density of states (states/eV/f.u.)
1,1.61
2,2.73
3,0.56
4,5.54
5,6.00
6,3.74
7,5.41
8,12.10
9,5.75
10,18.10
11,14.40
12,5.59